Record 1
Material: BaAl2GaS6
Method: DFT, PBE-GGA
State: relaxed

a b c (Å): 7.693 8.993 8.993
angles (deg): 86.27 68.55 68.55
Each line ends with the local moment (μB).
Element x y z (fractional)
Ba  0.250  0.838  0.162  0.00
Ba  0.750  0.162  0.838  0.00
Al  0.390  0.758  0.611  0.00
Al  0.110  0.389  0.242  0.00
Al  0.610  0.242  0.389  0.00
Al  0.890  0.611  0.758  0.00
Ga  0.250  0.175  0.825  0.01
Ga  0.750  0.825  0.175  0.01
S  0.188  0.939  0.823  0.04
S  0.312  0.177  0.061  0.04
S  0.812  0.061  0.177  0.04
S  0.688  0.823  0.939  0.04
S  0.454  0.877  0.383  0.00
S  0.046  0.617  0.123  0.00
S  0.546  0.123  0.617  0.00
S  0.954  0.383  0.877  0.00
S  0.147  0.673  0.574  0.28
S  0.353  0.426  0.327  0.28
S  0.853  0.327  0.426  0.28
S  0.647  0.574  0.673  0.28

V   26.862 A^3/atom
Calculated total energy   -4.729 eV/atom
Calculated density   2.80 g/cm³

=====

Record 2
Material: CaPr2Nd6Sm
Method: DFT, PBE-GGA
State: relaxed

a b c (Å): 10.049 9.122 9.122
angles (deg): 118.81 94.55 94.55
Element x y z (fractional)
Ca  0.250  0.402  0.598
Ca  0.750  0.598  0.402
Pr  0.458  0.799  0.700
Pr  0.042  0.300  0.201
Pr  0.542  0.201  0.300
Pr  0.958  0.700  0.799
Nd  0.052  0.119  0.760
Nd  0.448  0.240  0.881
Nd  0.948  0.881  0.240
Nd  0.552  0.760  0.119
Nd  0.322  0.971  0.424
Nd  0.178  0.576  0.029
Nd  0.678  0.029  0.576
Nd  0.822  0.424  0.971
Nd  0.122  0.714  0.499
Nd  0.378  0.501  0.286
Nd  0.878  0.286  0.501
Nd  0.622  0.499  0.714
Sm  0.250  0.978  0.022
Sm  0.750  0.022  0.978

V   36.186 A^3/atom
Calculated total energy   -4.368 eV/atom
Calculated formation energy   121.1 meV per atom
Calculated density   6.14 g/cm³

=====

Record 3
Material: TmThU2P4
Method: DFT, PBE-GGA
State: relaxed

a b c (Å): 3.974 6.990 6.882
angles (deg): 70.85 90.00 90.00
Each line ends with the local moment (μB).
Element x y z (fractional)
Tm  0.000  0.500  0.500  -0.01
Th  0.500  0.500  0.000  0.01
U  0.000  0.000  0.000  2.11
U  0.500  0.000  0.500  1.90
P  0.000  0.760  0.739  -0.04
P  0.000  0.240  0.261  -0.04
P  0.500  0.756  0.255  -0.04
P  0.500  0.244  0.745  -0.04

V   22.572 A^3/atom
Calculated total energy   -8.270 eV/atom
Calculated formation energy   -1256.9 meV per atom
Calculated density   9.20 g/cm³

=====

Record 4
Material: K2RePb
Method: DFT, PBE-GGA
State: relaxed

a b c (Å): 12.323 12.323 12.323
angles (deg): 14.68 14.68 14.68
Each line ends with the local moment (μB).
Element x y z (fractional)
K  0.006  0.006  0.006  -0.01
K  0.494  0.494  0.494  -0.01
Pb  0.250  0.250  0.250  -0.03
Re  0.750  0.750  0.750  0.21

V   26.167 A^3/atom
Calculated total energy   -3.484 eV/atom
Calculated formation energy   1104.1 meV per atom
Calculated density   7.48 g/cm³

=====

Record 5
Material: Pm6Dy3Y2
Method: DFT, PBE-GGA
State: relaxed

a b c (Å): 3.613 3.613 32.356
angles (deg): 86.80 86.80 60.00
Element x y z (fractional)
Pm  0.910  0.910  0.271
Pm  0.090  0.090  0.729
Pm  0.818  0.818  0.547
Pm  0.182  0.182  0.453
Pm  0.637  0.637  0.090
Pm  0.363  0.363  0.910
Dy  0.000  0.000  0.000
Dy  0.727  0.727  0.819
Dy  0.273  0.273  0.181
Y  0.546  0.546  0.362
Y  0.454  0.454  0.638

Polymorph energy (0 for the lowest one)   0 meV per atom
V   33.181 A^3/atom
Calculated total energy   -5.009 eV/atom
Calculated formation energy   12.5 meV per atom
Calculated density   6.98 g/cm³

=====

Record 6
Material: TcBr2Cl
Method: DFT, PBE-GGA
State: relaxed

a b c (Å): 11.790 11.790 11.790
angles (deg): 14.86 14.86 14.86
Element x y z (fractional)
Tc  0.000  0.000  0.000
Br  0.932  0.932  0.932
Br  0.068  0.068  0.068
Cl  0.500  0.500  0.500

Polymorph energy (0 for the lowest one)   824 meV per atom
V   23.456 A^3/atom
Calculated total energy   -3.399 eV/atom
Calculated density   5.19 g/cm³

=====

Record 7
Material: Tm3Si2Pt
Method: DFT, PBE-GGA
State: relaxed

a b c (Å): 4.182 11.183 11.292
angles (deg): 90.00 90.00 90.00
Element x y z (fractional)
Tm  0.250  0.378  0.056
Tm  0.750  0.622  0.944
Tm  0.750  0.878  0.444
Tm  0.250  0.122  0.556
Tm  0.250  0.693  0.212
Tm  0.750  0.307  0.788
Tm  0.750  0.193  0.288
Tm  0.250  0.807  0.712
Tm  0.250  0.439  0.379
Tm  0.750  0.561  0.621
Tm  0.750  0.939  0.121
Tm  0.250  0.061  0.879
Si  0.250  0.691  0.483
Si  0.750  0.309  0.517
Si  0.750  0.191  0.017
Si  0.250  0.809  0.983
Si  0.250  0.999  0.310
Si  0.750  0.001  0.690
Si  0.750  0.499  0.190
Si  0.250  0.501  0.810
Pt  0.250  0.132  0.130
Pt  0.750  0.868  0.870
Pt  0.750  0.632  0.370
Pt  0.250  0.368  0.630

V   22.001 A^3/atom
Calculated total energy   -5.985 eV/atom
Calculated density   9.54 g/cm³

=====

Record 8
Material: Sc2InAsRh
Method: DFT, PBE-GGA
State: relaxed

a b c (Å): 4.993 4.622 4.993
angles (deg): 90.00 90.00 90.00
Element x y z (fractional)
Sc  0.000  0.000  0.500
Sc  0.500  0.000  0.000
As  0.000  0.000  0.000
Rh  0.000  0.500  0.000
In  0.500  0.500  0.500

V   23.045 A^3/atom
Calculated total energy   -5.814 eV/atom
Calculated formation energy   -333.5 meV per atom
Calculated density   5.51 g/cm³